Entry from the Alexandria database: a relaxed structure of Fe2BS (PBEsol).

## Properties
- energy relative to the elements, uncorrected (eV per formula unit) = 0.40
- crystal system = cubic
- uncorrected energy (eV per atom) = -7.231

The structure in extended XYZ format:
```
4
Lattice="3.699 0.000 0.000 1.850 3.204 0.000 1.850 1.068 3.021" Properties=species:S:1:pos:R:3 pbc="T T T"
S 3.699 2.136 1.510
B 0.000 0.000 0.000
Fe 1.850 1.068 0.755
Fe 5.549 3.204 2.265
```